A relaxed structure of PmY5Tm2Sc, computed with PBE.

Values from the calculation:
Calculated total energy   -5.645 eV per atom
Total moment   0.003 μB per cell
Formation enthalpy at 0 K   171 meV/atom

Unit cell a=10.3300 b=10.3300 c=10.3651 alpha=90.00 beta=90.00 gamma=148.86
With the nearest neighbours (Å) after each atom.
Element x y z (fractional)
Pm 0.0892 0.9108 0.5000  5 Y 3.00-3.31
Pm 0.9108 0.0892 0.0000  5 Y 3.00-3.31
Y 0.0197 0.9803 0.7899  2 Pm 3.07-3.31, 2 Tm 3.40
Y 0.1266 0.8734 0.0741  4 Tm 3.53-3.56, 1 Sc 3.61, 4 Y 3.62-3.76
Y 0.2009 0.7991 0.7558  4 Y 3.38-3.62, 2 Sc 3.39, 1 Pm 3.46, 3 Tm 3.49-3.69
Y 0.2268 0.7732 0.3816  1 Pm 3.00, 1 Tm 3.24
Y 0.4830 0.5170 0.0701  2 Pm 3.21, 4 Tm 3.31-3.58, 1 Sc 3.49, 2 Y 3.59
Y 0.5170 0.4830 0.5701  2 Pm 3.21, 4 Tm 3.31-3.58, 1 Sc 3.49, 2 Y 3.59
Y 0.7732 0.2268 0.8816  1 Pm 3.00, 1 Tm 3.24
Y 0.7991 0.2009 0.2558  4 Y 3.38-3.62, 2 Sc 3.39, 1 Pm 3.46, 3 Tm 3.49-3.69
Y 0.8734 0.1266 0.5741  4 Tm 3.53-3.56, 1 Sc 3.61, 4 Y 3.62-3.76
Y 0.9803 0.0197 0.2899  2 Pm 3.07-3.31, 2 Tm 3.40
Tm 0.3855 0.6145 0.7888  1 Sc 3.29, 4 Y 3.46-3.56, 2 Pm 3.57
Tm 0.3895 0.6105 0.3649  9 Y 3.24-3.58, 1 Sc 3.47
Tm 0.6105 0.3895 0.8649  9 Y 3.24-3.58, 1 Sc 3.47
Tm 0.6145 0.3855 0.2888  1 Sc 3.29, 4 Y 3.46-3.56, 2 Pm 3.57
Sc 0.3077 0.6923 0.0691  2 Tm 3.29-3.47, 7 Y 3.39-3.62, 2 Pm 3.52
Sc 0.6923 0.3077 0.5691  2 Tm 3.29-3.47, 7 Y 3.39-3.62, 2 Pm 3.52

=====

A relaxed structure of Pm6YTmSc2, computed with PBE.

Values from the calculation:
Calculated total energy   -5.087 eV per atom
Total moment   0.000 μB per cell
Formation enthalpy at 0 K   123 meV/atom

Unit cell a=8.7858 b=8.7858 c=9.4820 alpha=93.89 beta=93.89 gamma=118.06
With the nearest neighbours (Å) after each atom.
Element x y z (fractional)
Pm 0.0110 0.5595 0.1848  5 Pm 3.27-3.65, 1 Tm 3.41, 2 Sc 3.42-3.60, 1 Y 3.58
Pm 0.1155 0.7627 0.5516  7 Pm 3.39-3.78, 1 Sc 3.39, 2 Y 3.60-3.74
Pm 0.2373 0.8845 0.9484  7 Pm 3.39-3.78, 1 Sc 3.39, 2 Y 3.60-3.74
Pm 0.2965 0.5040 0.3824  3 Sc 3.21-3.38, 3 Pm 3.27-3.39, 2 Tm 3.35-3.49
Pm 0.4405 0.9890 0.3152  5 Pm 3.27-3.65, 1 Tm 3.41, 2 Sc 3.42-3.60, 1 Y 3.58
Pm 0.4960 0.7035 0.1176  3 Sc 3.21-3.38, 3 Pm 3.27-3.39, 2 Tm 3.35-3.49
Pm 0.5040 0.2965 0.8824  3 Sc 3.21-3.38, 3 Pm 3.27-3.39, 2 Tm 3.35-3.49
Pm 0.5595 0.0110 0.6848  5 Pm 3.27-3.65, 1 Tm 3.41, 2 Sc 3.42-3.60, 1 Y 3.58
Pm 0.7035 0.4960 0.6176  3 Sc 3.21-3.38, 3 Pm 3.27-3.39, 2 Tm 3.35-3.49
Pm 0.7627 0.1155 0.0516  7 Pm 3.39-3.78, 1 Sc 3.39, 2 Y 3.60-3.74
Pm 0.8845 0.2373 0.4484  7 Pm 3.39-3.78, 1 Sc 3.39, 2 Y 3.60-3.74
Pm 0.9890 0.4405 0.8152  5 Pm 3.27-3.65, 1 Tm 3.41, 2 Sc 3.42-3.60, 1 Y 3.58
Y 0.0271 0.9729 0.2500  4 Sc 3.37-3.39, 6 Pm 3.58-3.74
Y 0.9729 0.0271 0.7500  4 Sc 3.37-3.39, 6 Pm 3.58-3.74
Tm 0.4102 0.5898 0.7500  6 Pm 3.35-3.49, 2 Sc 3.49
Tm 0.5898 0.4102 0.2500  6 Pm 3.35-3.49, 2 Sc 3.49
Sc 0.1992 0.3018 0.0472  5 Pm 3.21-3.42, 2 Y 3.37-3.39, 1 Tm 3.49
Sc 0.3018 0.1992 0.5472  5 Pm 3.21-3.42, 2 Y 3.37-3.39, 1 Tm 3.49
Sc 0.6982 0.8008 0.4528  5 Pm 3.21-3.42, 2 Y 3.37-3.39, 1 Tm 3.49
Sc 0.8008 0.6982 0.9528  5 Pm 3.21-3.42, 2 Y 3.37-3.39, 1 Tm 3.49

=====

A relaxed structure of PmY6Tm2Sc, computed with PBE.

Values from the calculation:
Calculated total energy   -5.758 eV per atom
Total moment   0.000 μB per cell
Formation enthalpy at 0 K   123 meV/atom

Unit cell a=9.0896 b=9.0896 c=8.7482 alpha=91.08 beta=91.08 gamma=118.76
With the nearest neighbours (Å) after each atom.
Element x y z (fractional)
Pm 0.0333 0.9667 0.7500  4 Tm 3.33-3.59, 6 Y 3.42-3.62
Pm 0.9667 0.0333 0.2500  4 Tm 3.33-3.59, 6 Y 3.42-3.62
Y 0.0451 0.4593 0.2949  1 Sc 3.31, 1 Tm 3.31, 5 Y 3.38-3.63, 1 Pm 3.60
Y 0.1292 0.7912 0.0521  1 Tm 3.35, 7 Y 3.39-3.63, 2 Pm 3.42-3.62
Y 0.2088 0.8708 0.4479  1 Tm 3.35, 7 Y 3.39-3.63, 2 Pm 3.42-3.62
Y 0.2677 0.5258 0.9084  2 Sc 3.30-3.38, 3 Tm 3.34-3.46, 4 Y 3.38-3.44
Y 0.4593 0.0451 0.7949  1 Sc 3.31, 1 Tm 3.31, 5 Y 3.38-3.63, 1 Pm 3.60
Y 0.4742 0.7323 0.5916  2 Sc 3.30-3.38, 3 Tm 3.34-3.46, 4 Y 3.38-3.44
Y 0.5258 0.2677 0.4084  2 Sc 3.30-3.38, 3 Tm 3.34-3.46, 4 Y 3.38-3.44
Y 0.5407 0.9549 0.2051  1 Sc 3.31, 1 Tm 3.31, 5 Y 3.38-3.63, 1 Pm 3.60
Y 0.7323 0.4742 0.0916  2 Sc 3.30-3.38, 3 Tm 3.34-3.46, 4 Y 3.38-3.44
Y 0.7912 0.1292 0.5521  1 Tm 3.35, 7 Y 3.39-3.63, 2 Pm 3.42-3.62
Y 0.8708 0.2088 0.9479  1 Tm 3.35, 7 Y 3.39-3.63, 2 Pm 3.42-3.62
Y 0.9549 0.5407 0.7051  1 Sc 3.31, 1 Tm 3.31, 5 Y 3.38-3.63, 1 Pm 3.60
Tm 0.2114 0.3202 0.5575  2 Sc 3.21-3.52, 5 Y 3.31-3.46, 2 Pm 3.33-3.59
Tm 0.3202 0.2114 0.0575  2 Sc 3.21-3.52, 5 Y 3.31-3.46, 2 Pm 3.33-3.59
Tm 0.6798 0.7886 0.9425  2 Sc 3.21-3.52, 5 Y 3.31-3.46, 2 Pm 3.33-3.59
Tm 0.7886 0.6798 0.4425  2 Sc 3.21-3.52, 5 Y 3.31-3.46, 2 Pm 3.33-3.59
Sc 0.4427 0.5573 0.2500  4 Tm 3.21-3.52, 6 Y 3.30-3.38
Sc 0.5573 0.4427 0.7500  4 Tm 3.21-3.52, 6 Y 3.30-3.38

=====

A relaxed structure of Pm4Y2TmSc, computed with PBE.

Values from the calculation:
Calculated total energy   -5.312 eV per atom
Total moment   0.000 μB per cell
Formation enthalpy at 0 K   29 meV/atom

Unit cell a=5.0780 b=5.0780 c=9.8939 alpha=90.00 beta=90.00 gamma=90.00
With the nearest neighbours (Å) after each atom.
Element x y z (fractional)
Pm 0.0000 0.5000 0.2457  2 Sc 3.51, 4 Y 3.51-3.57, 2 Tm 3.57, 4 Pm 3.59
Pm 0.0000 0.5000 0.7543  2 Sc 3.51, 4 Y 3.51-3.57, 2 Tm 3.57, 4 Pm 3.59
Pm 0.5000 0.0000 0.2457  2 Sc 3.51, 4 Y 3.51-3.57, 2 Tm 3.57, 4 Pm 3.59
Pm 0.5000 0.0000 0.7543  2 Sc 3.51, 4 Y 3.51-3.57, 2 Tm 3.57, 4 Pm 3.59
Y 0.0000 0.0000 0.0000  8 Pm 3.51, 4 Sc 3.59
Y 0.5000 0.5000 0.5000  8 Pm 3.57, 4 Tm 3.59
Tm 0.0000 0.0000 0.5000  8 Pm 3.57, 4 Y 3.59
Sc 0.5000 0.5000 0.0000  8 Pm 3.51, 4 Y 3.59

=====

A relaxed structure of PmYTmSc, computed with PBE.

Values from the calculation:
Relative energy among the computed polymorphs   0.0 meV/atom
Calculated total energy   -5.455 eV per atom
Total moment   0.000 μB per cell
Formation enthalpy at 0 K   49 meV/atom

Unit cell a=6.0238 b=6.0238 c=6.0238 alpha=131.31 beta=131.31 gamma=71.31
With the nearest neighbours (Å) after each atom.
Element x y z (fractional)
Pm 0.0000 0.0000 0.0000  4 Tm 3.49, 4 Y 3.49, 4 Sc 3.51
Y 0.7500 0.2500 0.5000  4 Sc 3.49, 4 Pm 3.49, 4 Tm 3.51
Tm 0.2500 0.7500 0.5000  4 Sc 3.49, 4 Pm 3.49, 4 Y 3.51
Sc 0.5000 0.5000 0.0000  4 Tm 3.49, 4 Y 3.49, 4 Pm 3.51

=====

A relaxed structure of PmYTmSc, computed with PBE.

Values from the calculation:
Relative energy among the computed polymorphs   56.0 meV/atom
Calculated total energy   -5.399 eV per atom
Total moment   0.000 μB per cell
Formation enthalpy at 0 K   105 meV/atom

Unit cell a=5.5587 b=5.5587 c=5.5587 alpha=60.00 beta=60.00 gamma=60.00
With the nearest neighbours (Å) after each atom.
Element x y z (fractional)
Pm 0.0000 0.0000 0.0000  4 Tm 3.40, 4 Sc 3.40
Y 0.5000 0.5000 0.5000  4 Tm 3.40, 4 Sc 3.40
Tm 0.7500 0.7500 0.7500  4 Pm 3.40, 4 Y 3.40
Sc 0.2500 0.2500 0.2500  4 Pm 3.40, 4 Y 3.40

=====

A relaxed structure of Pm6YTm2Sc, computed with PBE.

Values from the calculation:
Calculated total energy   -4.898 eV per atom
Total moment   0.000 μB per cell
Formation enthalpy at 0 K   126 meV/atom

Unit cell a=8.8918 b=8.8918 c=9.3765 alpha=93.21 beta=93.21 gamma=117.80
With the nearest neighbours (Å) after each atom.
Element x y z (fractional)
Pm 0.0053 0.4407 0.8052  5 Pm 3.30-3.66, 1 Sc 3.39, 1 Tm 3.40, 1 Y 3.58
Pm 0.1243 0.7673 0.5511  7 Pm 3.44-3.75, 1 Tm 3.45, 2 Y 3.63-3.73
Pm 0.2327 0.8757 0.9489  7 Pm 3.44-3.75, 1 Tm 3.45, 2 Y 3.63-3.73
Pm 0.2886 0.5102 0.3868  3 Tm 3.24-3.43, 4 Pm 3.30-3.57, 2 Sc 3.34-3.46
Pm 0.4407 0.0053 0.3052  5 Pm 3.30-3.66, 1 Sc 3.39, 1 Tm 3.40, 1 Y 3.58
Pm 0.4898 0.7114 0.1132  3 Tm 3.24-3.43, 4 Pm 3.30-3.57, 2 Sc 3.34-3.46
Pm 0.5102 0.2886 0.8868  3 Tm 3.24-3.43, 4 Pm 3.30-3.57, 2 Sc 3.34-3.46
Pm 0.5593 0.9947 0.6948  5 Pm 3.30-3.66, 1 Sc 3.39, 1 Tm 3.40, 1 Y 3.58
Pm 0.7114 0.4898 0.6132  3 Tm 3.24-3.43, 4 Pm 3.30-3.57, 2 Sc 3.34-3.46
Pm 0.7673 0.1243 0.0511  7 Pm 3.44-3.75, 1 Tm 3.45, 2 Y 3.63-3.73
Pm 0.8757 0.2327 0.4489  7 Pm 3.44-3.75, 1 Tm 3.45, 2 Y 3.63-3.73
Pm 0.9947 0.5593 0.1948  5 Pm 3.30-3.66, 1 Sc 3.39, 1 Tm 3.40, 1 Y 3.58
Y 0.0256 0.9744 0.2500  4 Tm 3.39-3.47, 6 Pm 3.58-3.73
Y 0.9744 0.0256 0.7500  4 Tm 3.39-3.47, 6 Pm 3.58-3.73
Tm 0.2052 0.3072 0.0477  5 Pm 3.24-3.45, 2 Y 3.39-3.47, 1 Sc 3.41
Tm 0.3072 0.2052 0.5477  5 Pm 3.24-3.45, 2 Y 3.39-3.47, 1 Sc 3.41
Tm 0.6928 0.7948 0.4523  5 Pm 3.24-3.45, 2 Y 3.39-3.47, 1 Sc 3.41
Tm 0.7948 0.6928 0.9523  5 Pm 3.24-3.45, 2 Y 3.39-3.47, 1 Sc 3.41
Sc 0.4205 0.5795 0.7500  6 Pm 3.34-3.46, 2 Tm 3.41
Sc 0.5795 0.4205 0.2500  6 Pm 3.34-3.46, 2 Tm 3.41

=====

A relaxed structure of PmY4Tm2Sc, computed with PBE.

Values from the calculation:
Calculated total energy   -5.292 eV per atom
Total moment   7.247 μB per cell
Formation enthalpy at 0 K   444 meV/atom

Unit cell a=9.3939 b=9.3939 c=6.7468 alpha=111.03 beta=111.03 gamma=88.47
With the nearest neighbours (Å) after each atom.
Element x y z (fractional)
Pm 0.0000 0.5000 0.0000  6 Y 3.31-3.37, 2 Tm 3.37
Pm 0.5000 0.0000 0.5000  6 Y 3.31-3.37, 2 Tm 3.37
Y 0.2379 0.2433 0.4887  3 Tm 3.24-3.47, 2 Sc 3.27-3.28, 1 Pm 3.31, 2 Y 3.37
Y 0.2421 0.7578 0.5015  1 Sc 3.17, 2 Y 3.35-3.39, 3 Tm 3.36-3.38, 2 Pm 3.37
Y 0.2422 0.7579 0.9985  1 Sc 3.17, 2 Y 3.35-3.39, 3 Tm 3.36-3.38, 2 Pm 3.37
Y 0.2433 0.2379 0.9887  3 Tm 3.24-3.47, 2 Sc 3.27-3.28, 1 Pm 3.31, 2 Y 3.37
Y 0.7567 0.7621 0.0113  3 Tm 3.24-3.47, 2 Sc 3.27-3.28, 1 Pm 3.31, 2 Y 3.37
Y 0.7578 0.2421 0.0015  1 Sc 3.17, 2 Y 3.35-3.39, 3 Tm 3.36-3.38, 2 Pm 3.37
Y 0.7579 0.2422 0.4985  1 Sc 3.17, 2 Y 3.35-3.39, 3 Tm 3.36-3.38, 2 Pm 3.37
Y 0.7621 0.7567 0.5113  3 Tm 3.24-3.47, 2 Sc 3.27-3.28, 1 Pm 3.31, 2 Y 3.37
Tm 0.0000 0.5000 0.5000  6 Y 3.24-3.36, 2 Pm 3.37
Tm 0.5000 0.0000 0.0000  6 Y 3.24-3.36, 2 Pm 3.37
Tm 0.5000 0.5000 0.0000  2 Tm 3.37, 6 Y 3.38-3.47
Tm 0.5000 0.5000 0.5000  2 Tm 3.37, 6 Y 3.38-3.47
Sc 0.0000 0.0000 0.0000  6 Y 3.17-3.28, 2 Sc 3.37
Sc 0.0000 0.0000 0.5000  6 Y 3.17-3.28, 2 Sc 3.37

=====

A relaxed structure of PmYTm2Sc, computed with PBE.

Values from the calculation:
Calculated total energy   -4.972 eV per atom
Total moment   0.000 μB per cell
Formation enthalpy at 0 K   326 meV/atom

Unit cell a=6.9177 b=6.9177 c=7.0566 alpha=90.00 beta=90.00 gamma=108.13
With the nearest neighbours (Å) after each atom.
Element x y z (fractional)
Pm 0.2247 0.7753 0.7500  1 Sc 2.96
Pm 0.7753 0.2247 0.2500  1 Sc 2.96
Y 0.2373 0.7627 0.2500  1 Sc 3.07
Y 0.7627 0.2373 0.7500  1 Sc 3.07
Tm 0.1966 0.1966 0.0000  2 Sc 3.03, 1 Tm 3.19
Tm 0.1966 0.1966 0.5000  2 Sc 3.03, 1 Tm 3.19
Tm 0.8034 0.8034 0.0000  2 Sc 3.03, 1 Tm 3.19
Tm 0.8034 0.8034 0.5000  2 Sc 3.03, 1 Tm 3.19
Sc 0.4886 0.5114 0.7500  1 Pm 2.96, 4 Tm 3.03, 1 Y 3.07
Sc 0.5114 0.4886 0.2500  1 Pm 2.96, 4 Tm 3.03, 1 Y 3.07

=====

A relaxed structure of PmY6Tm3Sc2, computed with PBE.

Values from the calculation:
Calculated total energy   -5.756 eV per atom
Total moment   0.000 μB per cell
Formation enthalpy at 0 K   45 meV/atom

Unit cell a=6.0713 b=6.0713 c=11.6282 alpha=94.98 beta=94.98 gamma=119.95
With the nearest neighbours (Å) after each atom.
Element x y z (fractional)
Pm 0.0000 0.0000 0.0000  6 Y 3.49, 6 Sc 3.50-3.51
Y 0.0831 0.4189 0.2475  2 Sc 3.48, 6 Y 3.49-3.53, 1 Pm 3.49, 3 Tm 3.52-3.54
Y 0.2530 0.2530 0.7526  2 Sc 3.48, 1 Pm 3.49, 6 Y 3.49-3.53, 3 Tm 3.52-3.54
Y 0.4189 0.0831 0.2475  2 Sc 3.48, 6 Y 3.49-3.53, 1 Pm 3.49, 3 Tm 3.52-3.54
Y 0.5811 0.9169 0.7525  2 Sc 3.48, 6 Y 3.49-3.53, 1 Pm 3.49, 3 Tm 3.52-3.54
Y 0.7470 0.7470 0.2474  2 Sc 3.48, 1 Pm 3.49, 6 Y 3.49-3.53, 3 Tm 3.52-3.54
Y 0.9169 0.5811 0.7525  2 Sc 3.48, 6 Y 3.49-3.53, 1 Pm 3.49, 3 Tm 3.52-3.54
Tm 0.1672 0.8328 0.5000  6 Tm 3.50-3.52, 6 Y 3.52-3.54
Tm 0.5000 0.5000 0.5000  6 Tm 3.50-3.51, 6 Y 3.52-3.53
Tm 0.8328 0.1672 0.5000  6 Tm 3.50-3.52, 6 Y 3.52-3.54
Sc 0.3333 0.6667 0.0000  6 Y 3.48, 3 Pm 3.50-3.51, 3 Sc 3.50-3.51
Sc 0.6667 0.3333 0.0000  6 Y 3.48, 3 Pm 3.50-3.51, 3 Sc 3.50-3.51

=====

Q: Number 3 is which compound?
A: PmY6Tm2Sc